AlCu2Os GGA-PBE optimized geometry; ΔH_f (0 K) = 52 meV per atom; total moment = 0.0 μB/cell; final energy = -45.9 eV/cell; D(E_F) = 2.41 states/eV/f.u.
1.0
5.171 0.000 0.000
0.000 7.786 0.000
0.000 0.000 2.634
Al Cu Os
2 4 2
Direct
0.000 0.000 0.000
0.500 0.500 0.000
0.250 0.250 0.500
0.250 0.750 0.500
0.750 0.250 0.500
0.750 0.750 0.500
0.000 0.500 0.000
0.500 0.000 0.000



Al2CuOs GGA-PBE optimized geometry; ΔH_f (0 K) = -337 meV per atom; total moment = 0.0 μB/cell; final energy = -48.3 eV/cell; D(E_F) = 0.93 states/eV/f.u.
1.0
9.134 0.000 0.000
0.000 3.120 0.000
-1.403 0.000 3.845
Al Cu Os
4 2 2
Direct
0.000 0.000 0.000
0.234 0.000 0.664
0.500 0.500 0.000
0.734 0.500 0.664
0.495 0.000 0.497
0.995 0.500 0.497
0.240 0.500 0.166
0.740 0.000 0.166



Al2CuOs GGA-PBE optimized geometry; ΔH_f (0 K) = 80 meV per atom; total moment = 0.0 μB/cell; final energy = -22.5 eV/cell; D(E_F) = 3.34 states/eV/f.u.
1.0
2.782 0.000 0.000
0.000 2.782 0.000
0.000 0.000 7.488
Al Cu Os
2 1 1
Direct
0.000 0.000 0.000
0.500 0.500 0.299
0.000 0.000 0.527
0.500 0.500 0.769



Al4CuOs GGA-PBE optimized geometry; ΔH_f (0 K) = -142 meV per atom; total moment = 0.0 μB/cell; final energy = -62.3 eV/cell; offset from the most stable computed form = 0 meV/atom; D(E_F) = 2.18 states/eV/f.u.
1.0
4.782 -4.279 0.000
4.782 4.279 0.000
-1.988 0.000 4.967
Al Cu Os
8 2 2
Direct
0.000 0.000 0.000
0.000 0.000 0.500
0.091 0.558 0.277
0.442 0.909 0.723
0.479 0.479 0.749
0.521 0.521 0.251
0.558 0.091 0.277
0.909 0.442 0.723
0.229 0.229 0.426
0.771 0.771 0.574
0.246 0.246 0.933
0.754 0.754 0.067